[1]
## Ba12Na3Cl5 (PBE-GGA)

Data for a relaxed Ba12Na3Cl5 crystal.

```
Ba12Na3Cl5
1.0
-10.167 10.167 10.167
10.167 -10.167 10.167
10.167 10.167 -10.167
Ba Na Cl
48 12 20
direct
0.024 0.207 0.112
0.024 0.317 0.913
0.087 0.612 0.405
0.087 0.976 0.683
0.095 0.707 0.683
0.095 0.888 0.413
0.112 0.024 0.207
0.112 0.587 0.905
0.183 0.207 0.595
0.183 0.476 0.587
0.207 0.112 0.024
0.207 0.595 0.183
0.293 0.317 0.905
0.293 0.476 0.388
0.317 0.905 0.293
0.317 0.913 0.024
0.388 0.293 0.476
0.388 0.595 0.913
0.405 0.087 0.612
0.405 0.817 0.793
0.413 0.095 0.888
0.413 0.817 0.524
0.476 0.388 0.293
0.476 0.587 0.183
0.524 0.413 0.817
0.524 0.612 0.707
0.587 0.183 0.476
0.587 0.905 0.112
0.595 0.183 0.207
0.595 0.913 0.388
0.612 0.405 0.087
0.612 0.707 0.524
0.683 0.087 0.976
0.683 0.095 0.707
0.707 0.524 0.612
0.707 0.683 0.095
0.793 0.405 0.817
0.793 0.888 0.976
0.817 0.524 0.413
0.817 0.793 0.405
0.888 0.413 0.095
0.888 0.976 0.793
0.905 0.112 0.587
0.905 0.293 0.317
0.913 0.024 0.317
0.913 0.388 0.595
0.976 0.683 0.087
0.976 0.793 0.888
0.125 0.250 0.375
0.125 0.375 0.750
0.250 0.375 0.125
0.250 0.875 0.625
0.375 0.125 0.250
0.375 0.750 0.125
0.625 0.250 0.875
0.625 0.875 0.750
0.750 0.125 0.375
0.750 0.625 0.875
0.875 0.625 0.250
0.875 0.750 0.625
0.000 0.000 0.000
0.000 0.000 0.500
0.000 0.500 0.000
0.000 0.500 0.500
0.125 0.750 0.875
0.125 0.875 0.250
0.250 0.125 0.875
0.250 0.625 0.375
0.375 0.250 0.625
0.375 0.625 0.750
0.500 0.000 0.000
0.500 0.000 0.500
0.500 0.500 0.000
0.500 0.500 0.500
0.625 0.375 0.250
0.625 0.750 0.375
0.750 0.375 0.625
0.750 0.875 0.125
0.875 0.125 0.750
0.875 0.250 0.125
```

- Raw formation energy: -0.788 eV/atom
- SG: Ia-3d



[2]
## Cd3Sn4Hg2 (PBE-GGA)

Data for a relaxed Cd3Sn4Hg2 crystal.

```
Cd3Sn4Hg2
1.0
3.349 0.000 0.000
-1.675 2.901 0.000
0.000 0.000 24.120
Cd Sn Hg
3 4 2
direct
0.000 0.000 0.000
0.000 0.000 0.337
0.333 0.667 0.665
0.000 0.000 0.554
0.000 0.000 0.775
0.333 0.667 0.110
0.333 0.667 0.891
0.333 0.667 0.233
0.333 0.667 0.442
```

- E_form: 54 meV/atom
- SG: P3m1



[3]
## CsLiIn2I4 (PBE-GGA)

Data for a relaxed CsLiIn2I4 crystal.

```
CsLiIn2I4
1.0
-5.044 5.051 7.164
5.044 -5.051 7.164
5.044 5.051 -7.164
Cs Li In I
2 2 4 8
direct
0.500 0.000 0.000
0.500 0.500 0.500
0.000 0.000 0.000
0.500 0.000 0.500
0.000 0.000 0.500
0.000 0.500 0.000
0.000 0.500 0.500
0.500 0.500 0.000
0.178 0.196 0.982
0.241 0.251 0.510
0.241 0.730 0.990
0.286 0.804 0.482
0.714 0.196 0.518
0.759 0.270 0.010
0.759 0.749 0.490
0.822 0.804 0.018
```

- Raw formation energy: -0.839 eV/atom
- SG: Imma



[4]
## Rb2PdPbBr6 (PBE-GGA)

Data for a relaxed Rb2PdPbBr6 crystal.

```
Rb2PdPbBr6
1.0
5.702 0.000 0.000
0.000 5.702 0.000
0.000 0.000 11.042
Rb Pd Pb Br
2 1 1 6
direct
0.000 0.000 0.217
0.000 0.000 0.783
0.500 0.500 0.000
0.500 0.500 0.500
0.000 0.500 0.000
0.000 0.500 0.500
0.500 0.000 0.000
0.500 0.000 0.500
0.500 0.500 0.229
0.500 0.500 0.771
```

- Raw formation energy: -1.019 eV/atom
- SG: P4/mmm



[5]
## NiPd12Au3 (PBE-GGA)

Data for a relaxed NiPd12Au3 crystal.

```
NiPd12Au3
1.0
3.985 0.000 0.000
0.000 3.985 0.000
0.000 0.000 15.820
Ni Pd Au
1 12 3
direct
0.000 0.000 0.000
0.000 0.500 0.116
0.000 0.500 0.372
0.000 0.500 0.628
0.000 0.500 0.884
0.500 0.000 0.116
0.500 0.000 0.372
0.500 0.000 0.628
0.500 0.000 0.884
0.500 0.500 0.000
0.500 0.500 0.244
0.500 0.500 0.500
0.500 0.500 0.756
0.000 0.000 0.244
0.000 0.000 0.500
0.000 0.000 0.756
```

- E_form: -21 meV/atom
- SG: P4/mmm



[6]
## Zr2IrCl (PBE-GGA)

Data for a relaxed Zr2IrCl crystal.

```
Zr2IrCl
1.0
3.218 0.000 0.000
0.000 4.457 0.000
0.000 0.000 5.443
Zr Ir Cl
2 1 1
direct
0.000 0.000 0.000
0.500 0.500 0.500
0.000 0.000 0.500
0.500 0.500 0.000
```

- Raw formation energy: -0.617 eV/atom
- E above lowest polymorph: 0.193 eV per atom
- SG: Pmmm



| no. | calculated density (g/cm3) |
| --- | --- |
| 1 | 2.99 |
| 2 | 8.60 |
| 3 | 3.99 |
| 4 | 4.46 |
| 5 | 12.74 |
| 6 | 8.72 |